This record from the Alexandria database describes a relaxed structure of Tm2PdAu. The functional is PBE-GGA.

a = 4.961 Å, b = 4.961 Å, c = 4.961 Å
α = 60.00°, β = 60.00°, γ = 60.00°
Element x y z (fractional)
Tm: 0.250 0.250 0.250
Tm: 0.750 0.750 0.750
Pd: 0.000 0.000 0.000
Au: 0.500 0.500 0.500

Values from the calculation:
Total magnetic moment, μB/cell: 0.00
Energy, eV per atom: -5.267
E_form, meV/atom: -914
N(E_F), states/eV per cell: 3.1